No. 1
Zr3Ta: relaxed, PBE-GGA.

Cell: 5.5039 5.5039 3.0960 Å, 90.00 90.00 111.07°
Last column: nearest neighbours and their distance in Å.
Atoms (fractional coordinates):
Zr 0.0000 0.5000 0.5000  8 Zr 3.10-3.16, 4 Ta 3.16
Zr 0.5000 0.0000 0.5000  8 Zr 3.10-3.16, 4 Ta 3.16
Zr 0.5000 0.5000 0.0000  10 Zr 3.10-3.16, 2 Ta 3.11
Ta 0.0000 0.0000 0.0000  2 Ta 3.10, 10 Zr 3.11-3.16

Calculated values
- ΔH_f (0 K) (eV/atom) = 0.1647
- excess energy over the best structure of this formula in the dataset (meV/atom) = 62
- SG = Cmmm (65)
- crystal system = orthorhombic
- DOS at the Fermi energy (states/eV/cell) = 5.7
- calculated density (kg/m3) = 8626

No. 2
La3AgIr: relaxed, PBE-GGA.

Cell: 5.6166 5.6166 5.6166 Å, 90.00 90.00 90.00°
Last column: nearest neighbours and their distance in Å.
Atoms (fractional coordinates):
Ag 0.5000 0.5000 0.5000  12 La 3.97
La 0.5000 0.0000 0.0000  2 Ir 2.81
La 0.0000 0.5000 0.0000  2 Ir 2.81
La 0.0000 0.0000 0.5000  2 Ir 2.81
Ir 0.0000 0.0000 0.0000  6 La 2.81

Calculated values
- ΔH_f (0 K) (eV/atom) = -0.2614
- excess energy over the best structure of this formula in the dataset (meV/atom) = 223
- SG = Pm-3m (221)
- crystal system = cubic
- DOS at the Fermi energy (states/eV/cell) = 6.3
- calculated density (kg/m3) = 6718

No. 3
MoPSeBr2: relaxed, PBE-GGA.

Cell: 4.9569 4.9569 5.1942 Å, 90.00 90.00 90.00°
Last column: nearest neighbours and their distance in Å.
Atoms (fractional coordinates):
P 0.0000 0.0000 0.0000  4 Br 2.48, 2 Se 2.60
Br 0.0000 0.5000 0.0000  2 P 2.48
Br 0.5000 0.0000 0.0000  2 P 2.48
Mo 0.5000 0.5000 0.5000  4 Se 3.51, 8 Br 3.59
Se 0.0000 0.0000 0.5000  2 P 2.60

Calculated values
- excess energy over the best structure of this formula in the dataset (meV/atom) = 245
- SG = P4/mmm (123)
- crystal system = tetragonal
- DOS at the Fermi energy (states/eV/cell) = 3.8
- calculated density (kg/m3) = 4758
- ΔE_f (raw) (kJ per mole of atoms) = 81.8

No. 4
Ca2PmPd4: relaxed, PBE-GGA.

Cell: 5.4163 5.4163 6.7053 Å, 113.84 113.84 89.97°
Last column: nearest neighbours and their distance in Å.
Atoms (fractional coordinates):
Pd 0.6254 0.1254 0.2507  2 Pd 2.74-2.76, 2 Ca 2.77, 2 Pm 3.04
Pd 0.3746 0.8746 0.7493  2 Pd 2.74-2.76, 2 Ca 2.77, 2 Pm 3.04
Pd 0.8746 0.3746 0.7493  2 Pd 2.74-2.76, 2 Ca 2.77, 2 Pm 3.04
Pd 0.1254 0.6254 0.2507  2 Pd 2.74-2.76, 2 Ca 2.77, 2 Pm 3.04
Ca 0.3214 0.3214 0.6429  4 Pd 2.77
Ca 0.6786 0.6786 0.3571  4 Pd 2.77
Pm 0.0000 0.0000 0.0000  8 Pd 3.04

Calculated values
- ΔH_f (0 K) (eV/atom) = -0.5715
- SG = I4/mmm (139)
- crystal system = tetragonal
- DOS at the Fermi energy (states/eV/cell) = 2.2
- calculated density (kg/m3) = 6694

No. 5
TaRu2: relaxed, PBE-GGA.

Cell: 4.2327 4.2327 4.2327 Å, 60.00 60.00 60.00°
Last column: nearest neighbours and their distance in Å.
Atoms (fractional coordinates):
Ru 0.7500 0.7500 0.7500  4 Ta 2.59
Ru 0.2500 0.2500 0.2500  4 Ta 2.59
Ta 0.0000 0.0000 0.0000  8 Ru 2.59

Calculated values
- ΔH_f (0 K) (eV/atom) = 0.3297
- SG = Fm-3m (225)
- crystal system = cubic
- DOS at the Fermi energy (states/eV/cell) = 3.6
- calculated density (kg/m3) = 11863

No. 6
SrFeSi2: relaxed, PBE-GGA.

Cell: 3.9735 3.9735 6.1579 Å, 71.22 71.22 60.01°
Last column: nearest neighbours and their distance in Å.
Atoms (fractional coordinates):
Si 0.9692 0.9692 0.0925  3 Fe 2.33, 3 Si 2.53
Si 0.6982 0.6982 0.9053  3 Fe 2.39, 3 Si 2.53
Sr 0.5064 0.5064 0.4806  1 Fe 3.09, 7 Si 3.19-3.34
Fe 0.3261 0.3261 0.0216  6 Si 2.33-2.39

Calculated values
- SG = R3m (160)
- crystal system = trigonal
- DOS at the Fermi energy (states/eV/cell) = 3.1
- calculated density (kg/m3) = 4241
- ΔE_f (raw) (kJ per mole of atoms) = -27.3

No. 7
YbMnSb2: relaxed, PBE-GGA.

Cell: 10.5672 10.5672 10.5672 Å, 156.19 156.19 33.92°
Last column: nearest neighbours and their distance in Å.
Atoms (fractional coordinates):
Yb 0.1200 0.1200 0.0000  8 Sb 3.25-3.26, 4 Mn 3.41
Yb 0.8800 0.8800 0.0000  8 Sb 3.25-3.26, 4 Mn 3.41
Sb 0.6716 0.6716 0.0000  4 Mn 2.70
Sb 0.0000 0.5000 0.5000  4 Sb 3.08, 4 Yb 3.26
Sb 0.3284 0.3284 0.0000  4 Mn 2.70
Sb 0.5000 0.0000 0.5000  4 Sb 3.08, 4 Yb 3.26
Mn 0.7500 0.2500 0.5000  4 Sb 2.70
Mn 0.2500 0.7500 0.5000  4 Sb 2.70

Calculated values
- SG = I4/mmm (139)
- crystal system = tetragonal
- DOS at the Fermi energy (states/eV/cell) = 25.6
- calculated density (kg/m3) = 8150
- ΔE_f (raw) (kJ per mole of atoms) = -43.8

No. 8
ReHgB2Ru: relaxed, PBE-GGA.

Cell: 3.9749 5.3833 3.9749 Å, 90.00 90.00 90.00°
Last column: nearest neighbours and their distance in Å.
Atoms (fractional coordinates):
Re 0.5000 0.5000 0.5000  4 Ru 2.81
B 0.0000 0.0000 0.5000  2 Hg 1.99
B 0.5000 0.0000 0.0000  2 Hg 1.99
Ru 0.0000 0.5000 0.0000  2 Hg 2.69, 4 Re 2.81
Hg 0.0000 0.0000 0.0000  4 B 1.99

Calculated values
- ΔH_f (0 K) (eV/atom) = 2.6122
- SG = P4/mmm (123)
- crystal system = tetragonal
- DOS at the Fermi energy (states/eV/cell) = 5.6
- calculated density (kg/m3) = 9947

No. 9
BeMoCl2: relaxed, PBE-GGA.

Cell: 2.9995 2.9995 8.9698 Å, 90.00 90.00 90.00°
Last column: nearest neighbours and their distance in Å.
Atoms (fractional coordinates):
Cl 0.0000 0.0000 0.0829  4 Mo 2.60
Cl 0.0000 0.0000 0.4171  4 Mo 2.60
Be 0.5000 0.5000 0.7500  4 Be 3.00
Mo 0.5000 0.5000 0.2500  8 Cl 2.60

Calculated values
- excess energy over the best structure of this formula in the dataset (meV/atom) = 993
- SG = P4/mmm (123)
- crystal system = tetragonal
- DOS at the Fermi energy (states/eV/cell) = 3.5
- calculated density (kg/m3) = 3618
- ΔE_f (raw) (kJ per mole of atoms) = 66.4

No. 10
CuHg2Br: relaxed, PBE-GGA.

Cell: 5.1643 5.1643 5.1643 Å, 60.00 60.00 60.00°
Last column: nearest neighbours and their distance in Å.
Atoms (fractional coordinates):
Cu 0.2500 0.2500 0.2500  4 Br 3.16, 4 Hg 3.16
Hg 0.7500 0.7500 0.7500  4 Hg 3.16, 4 Br 3.16
Hg 0.0000 0.0000 0.0000  4 Cu 3.16, 4 Hg 3.16
Br 0.5000 0.5000 0.5000  4 Hg 3.16, 4 Cu 3.16

Calculated values
- excess energy over the best structure of this formula in the dataset (meV/atom) = 391
- SG = F-43m (216)
- crystal system = cubic
- DOS at the Fermi energy (states/eV/cell) = 0.9
- calculated density (kg/m3) = 9286
- ΔE_f (raw) (kJ per mole of atoms) = 28.8

No. 11
Tc2TeRh: relaxed, PBE-GGA.

Cell: 7.1054 4.5178 3.1213 Å, 90.02 63.91 129.38°
Last column: nearest neighbours and their distance in Å.
Atoms (fractional coordinates):
Tc 0.0000 0.0000 0.0000  4 Rh 2.75, 4 Te 2.75
Tc 0.5000 0.0000 0.5000  4 Te 2.75, 4 Rh 2.75
Te 0.0000 0.5000 0.5000  8 Tc 2.75
Rh 0.5000 0.5000 0.0000  8 Tc 2.75

Calculated values
- SG = Cmmm (65)
- crystal system = orthorhombic
- DOS at the Fermi energy (states/eV/cell) = 3.6
- calculated density (kg/m3) = 11117
- ΔE_f (raw) (kJ per mole of atoms) = 27.7

No. 12
Mg2AsRuO6: relaxed, PBE-GGA.

Cell: 4.8137 5.5246 5.5246 Å, 90.00 90.00 90.00°
Last column: nearest neighbours and their distance in Å.
Atoms (fractional coordinates):
As 0.5992 0.0000 0.0000  1 O 1.70
O 0.2468 0.0000 0.0000  1 As 1.70
O 0.2462 0.5000 0.5000  1 Ru 1.76
O 0.7467 0.7426 0.2574  1 Ru 2.00, 2 Mg 2.05, 1 As 2.13
O 0.7467 0.7426 0.7426  1 Ru 2.00, 2 Mg 2.05, 1 As 2.13
O 0.7467 0.2574 0.2574  1 Ru 2.00, 2 Mg 2.05, 1 As 2.13
O 0.7467 0.2574 0.7426  1 Ru 2.00, 2 Mg 2.05, 1 As 2.13
Mg 0.8779 0.5000 0.0000  4 O 2.05
Mg 0.8779 0.0000 0.5000  4 O 2.05
Ru 0.6120 0.5000 0.5000  1 O 1.76

Calculated values
- SG = P4mm (99)
- crystal system = tetragonal
- DOS at the Fermi energy (states/eV/cell) = 1.5
- calculated density (kg/m3) = 3624
- ΔE_f (raw) (kJ per mole of atoms) = -134.4

No. 13
Er5PuRu6: relaxed, PBE-GGA.

Cell: 4.7601 6.7499 7.5278 Å, 90.00 71.52 90.00°
Last column: nearest neighbours and their distance in Å.
Atoms (fractional coordinates):
Er 0.6696 0.0000 0.6609  8 Ru 2.89-2.93
Er 0.6670 0.5000 0.6660  8 Ru 2.95-3.02
Er 0.3304 0.0000 0.3391  8 Ru 2.89-2.93
Er 0.3330 0.5000 0.3340  8 Ru 2.95-3.02
Er 0.0000 0.5000 0.0000  8 Ru 2.87-2.97
Ru 0.1602 0.2422 0.6796  1 Pu 2.81, 7 Er 2.87-3.02
Ru 0.4999 0.2363 0.0000  2 Pu 2.86-2.87, 6 Er 2.90-2.98, 1 Ru 3.19
Ru 0.5001 0.7637 0.0000  2 Pu 2.86-2.87, 6 Er 2.90-2.98, 1 Ru 3.19
Ru 0.8398 0.2422 0.3204  1 Pu 2.81, 7 Er 2.87-3.02
Ru 0.8398 0.7578 0.3204  1 Pu 2.81, 7 Er 2.87-3.02
Ru 0.1602 0.7578 0.6796  1 Pu 2.81, 7 Er 2.87-3.02
Pu 0.0000 0.0000 0.0000  8 Ru 2.81-2.87

Calculated values
- ΔH_f (0 K) (eV/atom) = -0.3819
- SG = Cmmm (65)
- crystal system = orthorhombic
- DOS at the Fermi energy (states/eV/cell) = 10.8
- calculated density (kg/m3) = 12210